# 1
The following is a DFT calculation (PBE-GGA) of a relaxed structure of ScGa8Tc2.

Values from the calculation:
Energy of formation   -0.1050 eV per atom
Space-group type   C2/m

Cell: 6.700 6.700 4.831 Å, 98.57 98.57 99.45°
Atoms (fractional coordinates):
Sc 0.000 0.000 0.000
Ga 0.098 0.353 0.609
Ga 0.286 0.714 0.000
Ga 0.353 0.098 0.609
Ga 0.379 0.379 0.250
Ga 0.621 0.621 0.750
Ga 0.647 0.902 0.391
Ga 0.714 0.286 0.000
Ga 0.902 0.647 0.391
Tc 0.281 0.719 0.500
Tc 0.719 0.281 0.500

=====

# 2
The following is a DFT calculation (PBE-GGA) of a relaxed structure of ZrAl2Cu.

Values from the calculation:
Energy of formation   -0.1064 eV per atom
Space-group type   Fm-3m

Cell: 4.541 4.541 4.541 Å, 60.00 60.00 60.00°
Atoms (fractional coordinates):
Zr 0.000 0.000 0.000
Al 0.250 0.250 0.250
Al 0.750 0.750 0.750
Cu 0.500 0.500 0.500

=====

# 3
The following is a DFT calculation (PBE-GGA) of a relaxed structure of Zr2SbPPb.

Values from the calculation:
E_form (uncorrected)   0.009 eV per atom
Space-group type   P4/mmm

Cell: 4.991 4.991 5.178 Å, 90.00 90.00 90.00°
Atoms (fractional coordinates):
Zr 0.000 0.500 0.000
Zr 0.500 0.000 0.000
Sb 0.000 0.000 0.500
P 0.000 0.000 0.000
Pb 0.500 0.500 0.500

=====

One value per record, in order, for V: 18.92; 16.56; 25.79 A^3/atom.